{"formula": "Pr2MgH12Rh3", "functional": "PBE", "state": "optimized geometry", "cell": [[3.2156, 1.8565, 4.6882], [-3.2156, 1.8565, 4.6882], [0.0000, -3.7130, 4.6882]], "species": ["Pr", "Pr", "Mg", "H", "H", "H", "H", "H", "H", "H", "H", "H", "H", "H", "H", "Rh", "Rh", "Rh"], "frac_coords": [[0.1182, 0.1182, 0.1182], [0.8818, 0.8818, 0.8818], [0.5000, 0.5000, 0.5000], [0.1169, 0.6198, 0.6198], [0.1850, 0.1850, 0.6281], [0.1850, 0.6281, 0.1850], [0.3719, 0.8150, 0.8150], [0.3802, 0.3802, 0.8831], [0.3802, 0.8831, 0.3802], [0.6198, 0.1169, 0.6198], [0.6198, 0.6198, 0.1169], [0.6281, 0.1850, 0.1850], [0.8150, 0.3719, 0.8150], [0.8150, 0.8150, 0.3719], [0.8831, 0.3802, 0.3802], [0.0000, 0.5000, 0.5000], [0.5000, 0.0000, 0.5000], [0.5000, 0.5000, 0.0000]], "space_group": "R-3m, No. 166"}


{"formula": "PrMgTcH6", "functional": "PBE", "state": "optimized geometry", "cell": [[4.7356, 0.0000, 0.0000], [-2.3678, 4.1011, 0.0000], [0.0000, 0.0000, 4.5845]], "species": ["Pr", "Mg", "Tc", "H", "H", "H", "H", "H", "H"], "frac_coords": [[0.0000, 0.0000, 0.0000], [0.3333, 0.6667, 0.5000], [0.6667, 0.3333, 0.5000], [0.5181, 0.0361, 0.2268], [0.5181, 0.0361, 0.7732], [0.5181, 0.4819, 0.2268], [0.5181, 0.4819, 0.7732], [0.9639, 0.4819, 0.2268], [0.9639, 0.4819, 0.7732]], "space_group": "P-6m2, No. 187"}


Final energy / eV/atom: -4.406; -4.406